No. 1
HoNpPa (GGA-PBE, relaxed); formation energy from the elements = 0.3325 eV per atom; DOS(E_F) = 33.73 states/eV per cell; space group = Pnma, No. 62
1.0
6.270 0.000 0.000
0.000 5.318 0.000
0.000 0.000 9.273
Ho Np Pa
4 4 4
Cartesian
0.431 1.330 1.707
2.704 3.989 6.343
3.566 1.330 2.929
5.839 3.989 7.565
1.424 1.330 7.871
1.711 3.989 3.235
4.559 1.330 6.038
4.846 3.989 1.401
0.806 1.330 5.232
2.329 3.989 0.596
3.941 1.330 8.676
5.464 3.989 4.040


No. 2
YAsP3 (GGA-PBE, relaxed); formation energy from the elements = 1.0011 eV per atom; DOS(E_F) = 5.67 states/eV per cell; space group = Pm-3m, No. 221; energy above the lowest structure with this stoichiometry = 822 meV/atom
1.0
5.213 0.000 0.000
0.000 5.213 0.000
0.000 0.000 5.213
Y As P
1 1 3
Cartesian
0.000 0.000 0.000
2.606 2.606 2.606
0.000 0.000 2.606
0.000 2.606 0.000
2.606 0.000 0.000


No. 3
HoTiGa4 (GGA-PBE, relaxed); formation energy from the elements = -0.3797 eV per atom; DOS(E_F) = 3.22 states/eV per cell; space group = F-43m, No. 216; energy above the lowest structure with this stoichiometry = 79 meV/atom
1.0
0.000 3.757 3.757
3.757 0.000 3.757
3.757 3.757 0.000
Ho Ti Ga
1 1 4
Cartesian
0.000 0.000 0.000
5.636 5.636 5.636
2.821 2.821 2.821
4.693 4.693 2.821
4.693 2.821 4.693
2.821 4.693 4.693